No. 1
Pm7AlCl12 GGA-PBE relaxed; crystal system = trigonal; energy relative to the elements, uncorrected = -1.848 eV per atom
1.0
-0.841 -4.707 -7.758
7.868 -2.442 3.895
-6.762 -2.554 5.550
Pm Cl Al
7 12 1
Direct
0.337 0.116 0.033
0.033 0.337 0.116
0.116 0.033 0.337
0.884 0.967 0.663
0.967 0.663 0.884
0.663 0.884 0.967
0.500 0.500 0.500
0.530 0.833 0.614
0.923 0.309 0.778
0.222 0.077 0.691
0.778 0.923 0.309
0.470 0.167 0.386
0.833 0.614 0.530
0.309 0.778 0.923
0.691 0.222 0.077
0.386 0.470 0.167
0.614 0.530 0.833
0.077 0.691 0.222
0.167 0.386 0.470
0.000 0.000 0.000



No. 2
ZrAlAg GGA-PBE relaxed; calculated formation energy = -105 meV per atom; crystal system = tetragonal
1.0
-2.896 -1.584 -2.319
2.618 -0.317 -3.052
1.799 -6.542 2.223
Zr Ag Al
2 2 2
Direct
0.500 0.000 0.858
0.000 0.500 0.142
0.000 0.500 0.741
0.500 0.000 0.259
0.000 0.000 0.500
0.500 0.500 0.500



no.,magnetization (μB/atom)
1,0.00
2,0.14